A.
A plane-wave DFT calculation with PBE was carried out for a relaxed structure of MgAl3Ni.

The structure in CIF format:
```
data_MgAl3Ni
_symmetry_space_group_name_H-M 'P n m a'
_symmetry_Int_Tables_number 62
_cell_length_a 8.075
_cell_length_b 3.813
_cell_length_c 10.741
_cell_angle_alpha 90.00
_cell_angle_beta 90.00
_cell_angle_gamma 90.00
loop_
_symmetry_equiv_pos_as_xyz
'x,y,z'
'-x,-y,-z'
'-x+1/2,-y,z+1/2'
'x+1/2,y,-z+1/2'
'x+1/2,-y+1/2,-z+1/2'
'-x+1/2,y+1/2,z+1/2'
'-x,y+1/2,-z'
'x,-y+1/2,z'
loop_
_atom_site_label
_atom_site_fract_x
_atom_site_fract_y
_atom_site_fract_z
Mg1 0.171 0.250 0.015
Al1 0.048 0.250 0.417
Al2 0.083 0.750 0.218
Al3 0.167 0.750 0.781
Ni1 0.141 0.250 0.634
```

B.
A plane-wave DFT calculation with PBE was carried out for a relaxed structure of MgAl3Ni.

The structure in CIF format:
```
data_MgAl3Ni
_symmetry_space_group_name_H-M 'P m -3 m'
_symmetry_Int_Tables_number 221
_symmetry_space_group_name_Hall '-P 4 2 3'
_cell_length_a 4.539
_cell_length_b 4.539
_cell_length_c 4.539
_cell_angle_alpha 90.00
_cell_angle_beta 90.00
_cell_angle_gamma 90.00
loop_
_atom_site_label
_atom_site_fract_x
_atom_site_fract_y
_atom_site_fract_z
Mg1 0.000 0.000 0.000
Al1 0.000 0.500 0.500
Ni1 0.500 0.500 0.500
```

If you had to name the least stable structure above, which would it be? It would be B.